The following is a GGA-PBE calculation of a relaxed structure of KCoNiAu2, from the Alexandria database.

Calculated values
* final energy: -3.673 eV/atom
* V: 22.13 A^3/atom

abc: 5.0012 5.0012 4.4238
angles: 90.00 90.00 90.00
Element x y z (fractional)
K (0.0000, 0.0000, 0.0000)
Co (0.5000, 0.5000, 0.0000)
Ni (0.5000, 0.5000, 0.5000)
Au (0.0000, 0.5000, 0.5000)
Au (0.5000, 0.0000, 0.5000)